Tl3Ag2Cl7, relaxed, DFT PBE; DOS at the Fermi energy = 2.889 states/eV/f.u.; raw formation energy = -702 meV/atom; raw total energy = -2.846 eV/atom
1.0
-1.824 -4.741 0.924
4.573 -1.377 1.962
-5.229 6.808 10.174
Cl Tl Ag
7 3 2
direct
0.595 0.095 0.191
0.198 0.198 0.397
0.905 0.405 0.809
0.000 0.000 0.000
0.095 0.595 0.191
0.405 0.905 0.809
0.802 0.802 0.603
0.500 0.500 0.000
0.319 0.319 0.638
0.681 0.681 0.362
0.901 0.901 0.802
0.099 0.099 0.198

=====

MgMo2W, relaxed, DFT PBE; DOS at the Fermi energy = 2.430 states/eV/f.u.; formation energy from the elements = 0.251 eV per atom; raw total energy = -8.801 eV/atom
1.0
-4.313 0.999 1.066
-0.657 -2.618 -0.205
0.882 -1.590 5.058
Mo Mg W
2 1 1
direct
0.500 0.243 0.251
0.000 0.011 0.005
0.500 0.755 0.752
0.000 0.491 0.492

=====

RbTaHRu2, relaxed, DFT PBE; DOS at the Fermi energy = 5.118 states/eV/f.u.; raw total energy = -5.511 eV/atom
1.0
4.251 0.000 0.000
0.000 4.290 0.000
0.000 0.000 4.251
Ta Ru Rb H
1 2 1 1
direct
0.500 0.500 0.500
0.500 0.000 0.000
0.000 0.000 0.500
0.000 0.500 0.000
0.000 0.000 0.000

=====

Zn4Cu5Ni2, relaxed, DFT PBE; DOS at the Fermi energy = 4.744 states/eV/f.u.; formation energy from the elements = -0.013 eV per atom; raw total energy = -3.389 eV/atom; offset from the most stable computed form = 0 meV/atom
1.0
-1.667 -3.231 -1.945
4.274 -4.422 3.682
-4.715 3.465 2.656
Zn Ni Cu
4 2 5
direct
0.000 0.294 0.000
0.373 0.373 0.747
0.627 0.627 0.253
0.000 0.706 0.000
0.868 0.868 0.736
0.132 0.132 0.264
0.500 0.000 0.000
0.272 0.941 0.543
0.728 0.397 0.457
0.272 0.603 0.543
0.728 0.059 0.457

=====

KCaTmI6, relaxed, DFT PBE; DOS at the Fermi energy = 0.000 states/eV/f.u.; raw formation energy = -1483 meV/atom; raw total energy = -3.358 eV/atom
1.0
7.953 0.000 0.000
-3.977 6.888 0.000
0.000 0.000 15.501
I Ca Tm K
12 2 2 2
direct
0.640 0.627 0.137
0.373 0.360 0.363
0.013 0.373 0.637
0.373 0.013 0.137
0.360 0.373 0.863
0.627 0.987 0.863
0.013 0.640 0.863
0.987 0.627 0.363
0.640 0.013 0.363
0.987 0.360 0.137
0.627 0.640 0.637
0.360 0.987 0.637
0.333 0.667 0.250
0.667 0.333 0.750
0.667 0.333 0.250
0.333 0.667 0.750
0.000 0.000 0.500
0.000 0.000 0.000

=====

Y6ThMg, relaxed, DFT PBE; DOS at the Fermi energy = 13.823 states/eV/f.u.; formation energy from the elements = 0.189 eV per atom; raw total energy = -5.786 eV/atom; offset from the most stable computed form = 78 meV/atom
1.0
0.071 -6.677 4.400
-0.591 0.139 -6.762
5.717 -3.609 1.699
Y Th Mg
6 1 1
direct
0.000 0.746 0.524
0.476 0.222 0.000
0.476 0.254 0.524
0.524 0.746 0.476
0.524 0.778 0.000
0.000 0.254 0.476
0.000 0.500 0.000
0.000 0.000 0.000

=====

Cs3LaBi2Te6, relaxed, DFT PBE; DOS at the Fermi energy = 0.000 states/eV/f.u.; raw formation energy = -909 meV/atom; raw total energy = -3.751 eV/atom
1.0
8.142 -0.001 0.000
-4.070 7.052 0.000
-1.358 -2.352 8.940
Te Cs La Bi
6 3 1 2
direct
0.725 0.725 0.193
0.405 0.065 0.194
0.065 0.405 0.194
0.275 0.275 0.807
0.595 0.935 0.806
0.935 0.595 0.806
0.166 0.834 0.500
0.834 0.166 0.500
0.500 0.500 0.500
0.000 0.000 0.000
0.667 0.333 0.000
0.333 0.667 0.000

=====

SbTe2P, relaxed, DFT PBE; DOS at the Fermi energy = 1.471 states/eV/f.u.; raw formation energy = 284 meV/atom; raw total energy = -3.670 eV/atom; offset from the most stable computed form = 125 meV/atom
1.0
2.192 0.000 9.431
-1.096 1.898 9.431
-1.096 -1.898 9.431
Sb Te P
1 2 1
direct
0.000 0.000 0.000
0.893 0.893 0.893
0.107 0.107 0.107
0.500 0.500 0.500

=====

HoTiMo, relaxed, DFT PBE; DOS at the Fermi energy = 5.163 states/eV/f.u.; formation energy from the elements = 0.306 eV per atom; raw total energy = -7.462 eV/atom
1.0
-1.887 0.929 -3.403
-1.327 -3.762 -0.291
-6.696 2.032 4.267
Ho Ti Mo
2 2 2
direct
0.500 0.000 0.645
0.000 0.500 0.355
0.000 0.500 0.789
0.500 0.000 0.211
0.500 0.500 0.000
0.000 0.000 0.000

=====

K3Cu5Cl12, relaxed, DFT PBE; DOS at the Fermi energy = 16.529 states/eV/f.u.; raw formation energy = -929 meV/atom; raw total energy = -3.226 eV/atom
1.0
13.668 0.000 0.000
-4.556 12.887 0.000
-4.556 -6.443 11.160
Cl Cu K
48 20 12
direct
0.810 0.490 0.390
0.810 0.320 0.920
0.820 0.900 0.010
0.080 0.180 0.190
0.400 0.390 0.580
0.900 0.080 0.890
0.510 0.190 0.110
0.080 0.900 0.390
0.180 0.100 0.990
0.110 0.420 0.100
0.490 0.680 0.100
0.600 0.610 0.420
0.010 0.400 0.820
0.190 0.510 0.610
0.580 0.690 0.680
0.310 0.420 0.820
0.820 0.920 0.310
0.190 0.680 0.080
0.680 0.190 0.580
0.580 0.890 0.400
0.310 0.890 0.990
0.690 0.580 0.180
0.510 0.320 0.900
0.490 0.810 0.890
0.990 0.600 0.180
0.920 0.820 0.810
0.690 0.110 0.010
0.180 0.080 0.690
0.110 0.690 0.510
0.420 0.110 0.600
0.680 0.490 0.600
0.320 0.510 0.400
0.600 0.990 0.680
0.920 0.100 0.610
0.400 0.010 0.320
0.100 0.920 0.110
0.320 0.810 0.420
0.610 0.010 0.190
0.890 0.580 0.900
0.100 0.180 0.490
0.390 0.990 0.810
0.610 0.600 0.920
0.890 0.310 0.490
0.390 0.400 0.080
0.900 0.820 0.510
0.010 0.610 0.690
0.990 0.390 0.310
0.420 0.310 0.320
0.500 0.500 0.000
0.000 0.500 0.000
0.125 0.375 0.250
0.625 0.875 0.250
0.000 0.000 0.000
0.750 0.625 0.375
0.500 0.000 0.000
0.500 0.500 0.500
0.750 0.125 0.875
0.125 0.750 0.375
0.500 0.000 0.500
0.625 0.750 0.875
0.250 0.375 0.625
0.375 0.250 0.125
0.875 0.625 0.750
0.875 0.250 0.625
0.000 0.000 0.500
0.375 0.125 0.750
0.000 0.500 0.500
0.250 0.875 0.125
0.250 0.625 0.875
0.750 0.375 0.125
0.750 0.875 0.625
0.375 0.750 0.625
0.125 0.875 0.750
0.625 0.375 0.750
0.625 0.250 0.375
0.875 0.750 0.125
0.875 0.125 0.250
0.125 0.250 0.875
0.375 0.625 0.250
0.250 0.125 0.375

=====

Question: What is the formula in the third record?
Answer: RbTaHRu2

=====

Question: DOS at the Fermi energy of number 7 (Cs3LaBi2Te6)?
Answer: 0.000 states/eV/f.u.